## Hg2BiPt (PBE)

Data for crystalline Hg2BiPt at its relaxed geometry.

Geometry as extended XYZ:
```
4
Lattice="-2.8414 -1.6998 3.8241 -2.2798 3.2759 3.1077 -5.0266 0.5462 -0.1466" Properties=species:S:1:pos:R:3 pbc="T T T"
Bi -5.0739 1.0611 3.3926
Hg -7.6109 1.5917 5.0889
Hg 0.0000 0.0000 0.0000
Pt -2.5370 0.5306 1.6963
```

Calculated values
The value obtained for the electronic total energy is -2.478 eV per atom. Its total moment is 0.0 μB/f.u.